<i>
# LiNd2Sn3 PBE optimized geometry
# Theoretical density (g cm⁻³): 6.69
data_LiNd2Sn3
_symmetry_space_group_name_H-M 'P m m 2'
_symmetry_Int_Tables_number 25
_cell_length_a 4.241
_cell_length_b 4.755
_cell_length_c 8.023
_cell_angle_alpha 90.00
_cell_angle_beta 90.00
_cell_angle_gamma 90.00
loop_
_symmetry_equiv_pos_as_xyz
'x,y,z'
'-x,-y,z'
'-x,y,z'
'x,-y,z'
loop_
_atom_site_label
_atom_site_fract_x
_atom_site_fract_y
_atom_site_fract_z
Li1 0.000 0.000 0.000
Nd1 0.500 0.000 0.669
Nd2 0.500 0.500 0.191
Sn1 0.000 0.000 0.322
Sn2 0.000 0.500 0.521
Sn3 0.000 0.500 0.872



<ii>
# LiNd2Sn3 PBE optimized geometry
# Theoretical density (g cm⁻³): 6.84
data_LiNd2Sn3
_symmetry_space_group_name_H-M 'C 1 m 1'
_symmetry_Int_Tables_number 8
_cell_length_a 11.493
_cell_length_b 4.692
_cell_length_c 7.525
_cell_angle_alpha 90.00
_cell_angle_beta 128.74
_cell_angle_gamma 90.00
loop_
_symmetry_equiv_pos_as_xyz
'x,y,z'
'x,-y,z'
'x+1/2,y+1/2,z'
'x+1/2,-y+1/2,z'
loop_
_atom_site_label
_atom_site_fract_x
_atom_site_fract_y
_atom_site_fract_z
Li1 0.000 0.000 0.000
Nd1 0.117 0.500 0.781
Nd2 0.223 0.500 0.400
Sn1 0.018 0.000 0.404
Sn2 0.302 0.000 0.181
Sn3 0.353 0.000 0.817



Which one sits at the bottom of the stability order? <i> does.



<i>
# LiNd2Sn2 PBE optimized geometry
# Theoretical density (g cm⁻³): 6.51
data_LiNd2Sn2
_symmetry_space_group_name_H-M 'C 1 2/m 1'
_symmetry_Int_Tables_number 12
_cell_length_a 11.613
_cell_length_b 4.703
_cell_length_c 11.246
_cell_angle_alpha 90.00
_cell_angle_beta 117.80
_cell_angle_gamma 90.00
loop_
_symmetry_equiv_pos_as_xyz
'x,y,z'
'-x,-y,-z'
'-x,y,-z'
'x,-y,z'
'x+1/2,y+1/2,z'
'-x+1/2,-y+1/2,-z'
'-x+1/2,y+1/2,-z'
'x+1/2,-y+1/2,z'
loop_
_atom_site_label
_atom_site_fract_x
_atom_site_fract_y
_atom_site_fract_z
Li1 0.223 0.000 0.360
Nd1 0.014 0.500 0.334
Nd2 0.185 0.500 0.096
Sn1 0.019 0.000 0.878
Sn2 0.144 0.000 0.577



<ii>
# LiNd2Sn2 PBE optimized geometry
# Theoretical density (g cm⁻³): 6.20
data_LiNd2Sn2
_symmetry_space_group_name_H-M 'I b a m'
_symmetry_Int_Tables_number 72
_symmetry_space_group_name_Hall '-I 2 2c'
_cell_length_a 6.670
_cell_length_b 13.165
_cell_length_c 6.501
_cell_angle_alpha 90.00
_cell_angle_beta 90.00
_cell_angle_gamma 90.00
loop_
_atom_site_label
_atom_site_fract_x
_atom_site_fract_y
_atom_site_fract_z
Li1 0.000 0.000 0.250
Nd1 0.214 0.363 0.000
Sn1 0.232 0.118 0.000



Which one sits at the bottom of the stability order? <ii> does.



<i>
# LiTb2Nd PBE optimized geometry
# Theoretical density (g cm⁻³): 6.44
data_LiTb2Nd
_symmetry_space_group_name_H-M 'P 4/m m m'
_symmetry_Int_Tables_number 123
_symmetry_space_group_name_Hall '-P 4 2'
_cell_length_a 5.713
_cell_length_b 5.713
_cell_length_c 3.706
_cell_angle_alpha 90.00
_cell_angle_beta 90.00
_cell_angle_gamma 90.00
loop_
_atom_site_label
_atom_site_fract_x
_atom_site_fract_y
_atom_site_fract_z
Li1 0.000 0.000 0.000
Tb1 0.000 0.500 0.500
Nd1 0.500 0.500 0.000



<ii>
# LiTb2Nd PBE optimized geometry
# Theoretical density (g cm⁻³): 6.55
data_LiTb2Nd
_symmetry_space_group_name_H-M 'P 4/m m m'
_symmetry_Int_Tables_number 123
_symmetry_space_group_name_Hall '-P 4 2'
_cell_length_a 3.677
_cell_length_b 3.677
_cell_length_c 8.793
_cell_angle_alpha 90.00
_cell_angle_beta 90.00
_cell_angle_gamma 90.00
loop_
_atom_site_label
_atom_site_fract_x
_atom_site_fract_y
_atom_site_fract_z
Li1 0.000 0.000 0.000
Tb1 0.500 0.500 0.216
Nd1 0.000 0.000 0.500



<iii>
# LiTb2Nd PBE optimized geometry
# Theoretical density (g cm⁻³): 6.31
data_LiTb2Nd
_symmetry_space_group_name_H-M 'R 3 m'
_symmetry_Int_Tables_number 160
_symmetry_space_group_name_Hall 'R 3 -2"'
_cell_length_a 3.5488
_cell_length_b 3.5488
_cell_length_c 33.9661
_cell_angle_alpha 90.00
_cell_angle_beta 90.00
_cell_angle_gamma 120.00
loop_
_atom_site_label
_atom_site_fract_x
_atom_site_fract_y
_atom_site_fract_z
Li1 0.0000 0.0000 0.0000
Tb1 0.0000 0.0000 0.4130
Tb2 0.0000 0.0000 0.5872
Nd1 0.0000 0.0000 0.8332



Which one sits at the bottom of the stability order? <i> does.